(A)
Here is a relaxed structure of CdRh2O4 from Alexandria. Energies are from GGA-PBE.

Its crystal system is cubic. The calculation puts the theoretical density at 7.14 g/cm3.

The structure belongs to space group Fd-3m (No. 227, origin choice 2); the cell edges are 8.926, 8.926 and 8.926 Å and the angles 90.00°, 90.00° and 90.00°. The inequivalent atoms are Cd at (0.125, 0.125, 0.125), Rh at (0.000, 0.000, 0.500) and O at (0.018, 0.018, 0.732).



(B)
Here is a relaxed structure of CdRh2O4 from Alexandria. Energies are from GGA-PBE.

Its crystal system is monoclinic. The calculation puts the theoretical density at 6.84 g/cm3.

The structure belongs to space group P2/m (No. 10); the cell edges are 5.299, 3.154 and 5.576 Å and the angles 90.00°, 95.52° and 90.00°. The inequivalent atoms are Cd at (0.000, 0.000, 0.000), Rh at (0.000, 0.000, 0.500), Rh at (0.500, 0.500, 0.500), O at (0.178, 0.500, 0.695) and O at (0.317, 0.000, 0.313).



Name the least stable of them. (B).



(A)
Here is a relaxed structure of CdRu3O from Alexandria. Energies are from GGA-PBE.

Its crystal system is cubic. The calculation puts the theoretical density at 5.83 g/cm3.

The structure belongs to space group Pm-3m (No. 221); the cell edges are 4.973, 4.973 and 4.973 Å and the angles 90.00°, 90.00° and 90.00°. The inequivalent atoms are Cd at (0.000, 0.000, 0.000), Ru at (0.000, 0.000, 0.500) and O at (0.500, 0.500, 0.500).



(B)
Here is a relaxed structure of CdRu3O from Alexandria. Energies are from GGA-PBE.

Its crystal system is cubic. The calculation puts the theoretical density at 10.21 g/cm3.

The structure belongs to space group Pm-3m (No. 221); the cell edges are 4.125, 4.125 and 4.125 Å and the angles 90.00°, 90.00° and 90.00°. The inequivalent atoms are Cd at (0.000, 0.000, 0.000), Ru at (0.000, 0.500, 0.500) and O at (0.500, 0.500, 0.500).



Name the least stable of them. (A).